[1]
Computed, not measured: an optimized crystal structure of KZrSc2 at the PBE level of DFT.

The space group is Cm (No. 8) and the conventional cell measures 10.596, 3.161 and 7.679 Å, with angles of 90.00, 93.36 and 90.00 degrees. The asymmetric unit holds K at (0.000, 0.000, 0.000), Zr at (0.259, 0.500, 0.337), Sc at (0.240, 0.000, 0.663) and Sc at (0.495, 0.000, 0.480).

The crystal system is monoclinic. The value obtained for the energy of formation is 0.514 eV/atom.

[2]
Computed, not measured: an optimized crystal structure of Pm2PdPt at the PBE level of DFT.

The space group is Fm-3m (No. 225) and the conventional cell measures 7.182, 7.182 and 7.182 Å, with angles of 90.00, 90.00 and 90.00 degrees. The asymmetric unit holds Pm at (0.250, 0.250, 0.250), Pd at (0.000, 0.000, 0.000) and Pt at (0.000, 0.000, 0.500).

The crystal system is cubic. The value obtained for the energy of formation is -0.932 eV/atom.

[3]
Computed, not measured: an optimized crystal structure of ScSi2Ru at the PBE level of DFT.

The space group is R-3m (No. 166, hexagonal axes) and the conventional cell measures 3.0248, 3.0248 and 24.1800 Å, with angles of 90.00, 90.00 and 120.00 degrees. The asymmetric unit holds Sc at (0.0000, 0.0000, 0.0000), Si at (0.0000, 0.0000, 0.2396) and Ru at (0.0000, 0.0000, 0.5000).

The crystal system is trigonal. The formation energy without anion corrections comes out at -272 meV per atom.